# Ca4MnPt

Ca4MnPt after structural relaxation (PBE, the Alexandria database).

Calculated values
**M_tot**: 0.698 μB/atom
**Theoretical density**: 3.99 g cm⁻³
**Total energy**: -3.190 eV per atom
**Symmetry**: F-43m, No. 216
**Energy relative to the elements**: 4.08 eV per formula unit

a b c (Å): 6.226 6.226 6.226
angles (deg): 60.00 60.00 60.00
Each line ends with the local moment (μB).
Fractional coordinates of all 6 atoms:
Ca 0.877 0.374 0.374  -0.04
Ca 0.374 0.374 0.877  -0.04
Ca 0.374 0.877 0.374  -0.04
Ca 0.374 0.374 0.374  -0.04
Mn 0.750 0.750 0.750  4.18
Pt 0.000 0.000 0.000  0.00